Compound: Pu2AlP
Source: Alexandria via LeMat-Bulk
Functional: PBE
Structure: relaxed

Values from the calculation:
The value obtained for the density of states at the Fermi level is 10.32 states/eV/f.u. The value obtained for the calculated total energy is -9.97 eV per atom. For the energy relative to the lowest polymorph listed for this composition, the calculation gives 0.0 meV per atom.

a = 3.7438 Å, b = 3.7438 Å, c = 5.9614 Å
α = 90.00°, β = 90.00°, γ = 90.00°
Space group P4/mmm (No. 123)
One atom of each set of equivalent atoms:
Pu1 0.0000 0.0000 0.2316 x2
Al1 0.5000 0.5000 0.5000 x1
P1 0.5000 0.5000 0.0000 x1

Compound: Ac2DyHoS4
Source: Alexandria via LeMat-Bulk
Functional: PBE
Structure: relaxed

Values from the calculation:
The value obtained for the formation energy (no corrections) is -1.9854 eV/atom. The value obtained for the density of states at the Fermi level is 3.22 states/eV/f.u. The value obtained for the calculated total energy is -6.22 eV per atom.

a = 6.9456 Å, b = 3.9910 Å, c = 7.4025 Å
α = 90.00°, β = 108.12°, γ = 90.00°
Space group P2/m (No. 10)
One atom of each set of equivalent atoms:
Ac1 0.0000 0.0000 0.0000 x1
Ac2 0.5000 0.5000 0.0000 x1
Dy1 0.0000 0.5000 0.5000 x1
Ho1 0.5000 0.0000 0.5000 x1
S1 0.2395 0.0000 0.7167 x2
S2 0.2628 0.5000 0.2840 x2

Compound: Be2SnC2
Source: Alexandria via LeMat-Bulk
Functional: PBE
Structure: relaxed

Values from the calculation:
The value obtained for the density of states at the Fermi level is 4.22 states/eV/f.u. The value obtained for the calculated total energy is -4.87 eV per atom. For the energy relative to the lowest polymorph listed for this composition, the calculation gives 21.7 meV per atom.

a = 6.6371 Å, b = 6.6371 Å, c = 2.9556 Å
α = 90.00°, β = 90.00°, γ = 90.00°
Space group P4/mbm (No. 127)
One atom of each set of equivalent atoms:
Be1 0.1152 0.3848 0.0000 x4
Sn1 0.0000 0.0000 0.0000 x2
C1 0.0721 0.5721 0.5000 x4

Compound: LiThSb2
Source: Alexandria via LeMat-Bulk
Functional: PBE
Structure: relaxed

Values from the calculation:
The value obtained for the formation energy (no corrections) is -0.5537 eV/atom. The value obtained for the density of states at the Fermi level is 3.41 states/eV/f.u. The value obtained for the calculated total energy is -4.95 eV per atom. For the energy relative to the lowest polymorph listed for this composition, the calculation gives 206.5 meV per atom.

a = 3.9449 Å, b = 3.9449 Å, c = 6.6379 Å
α = 90.00°, β = 90.00°, γ = 90.00°
Space group P4/mmm (No. 123)
One atom of each set of equivalent atoms:
Li1 0.0000 0.0000 0.0000 x1
Th1 0.0000 0.0000 0.5000 x1
Sb1 0.5000 0.5000 0.2311 x2

Compound: SrSnGePd3
Source: Alexandria via LeMat-Bulk
Functional: PBE
Structure: relaxed

Values from the calculation:
The value obtained for the density of states at the Fermi level is 3.54 states/eV/f.u. The value obtained for the calculated total energy is -4.80 eV per atom.

a = 5.8953 Å, b = 16.0750 Å, c = 6.0767 Å
α = 90.00°, β = 90.00°, γ = 90.00°
Space group Cmcm (No. 63)
One atom of each set of equivalent atoms:
Sr1 0.0000 0.2079 0.2500 x4
Sn1 0.0000 0.1007 0.7500 x4
Ge1 0.0000 0.4137 0.7500 x4
Pd1 0.0000 0.2626 0.7500 x4
Pd2 0.2448 0.5000 0.0000 x8

Compound: CaTb2AlAu4
Source: Alexandria via LeMat-Bulk
Functional: PBE
Structure: relaxed

Values from the calculation:
The value obtained for the density of states at the Fermi level is 4.34 states/eV/f.u. The value obtained for the calculated total energy is -4.27 eV per atom.

a = 4.9760 Å, b = 4.9760 Å, c = 24.4774 Å
α = 90.00°, β = 90.00°, γ = 120.00°
Space group R-3m (No. 166, hexagonal axes)
One atom of each set of equivalent atoms:
Ca1 0.0000 0.0000 0.0000 x3
Tb1 0.0000 0.0000 0.2452 x6
Al1 0.0000 0.0000 0.5000 x3
Au1 0.0000 0.0000 0.1245 x6
Au2 0.0000 0.0000 0.3844 x6

Compound: SrCaTbGd
Source: Alexandria via LeMat-Bulk
Functional: PBE
Structure: relaxed

Values from the calculation:
The value obtained for the density of states at the Fermi level is 5.65 states/eV/f.u. The value obtained for the calculated total energy is -5.41 eV per atom.

a = 8.4675 Å, b = 8.4675 Å, c = 8.4675 Å
α = 90.00°, β = 90.00°, γ = 90.00°
Space group F-43m (No. 216)
One atom of each set of equivalent atoms:
Sr1 0.0000 0.0000 0.0000 x4
Ca1 0.2500 0.2500 0.7500 x4
Tb1 0.2500 0.2500 0.2500 x4
Gd1 0.0000 0.0000 0.5000 x4

Compound: Ho3U2C4
Source: Alexandria via LeMat-Bulk
Functional: PBE
Structure: relaxed

Values from the calculation:
The value obtained for the density of states at the Fermi level is 6.86 states/eV/f.u. The value obtained for the calculated total energy is -8.32 eV per atom.

a = 11.7446 Å, b = 3.6607 Å, c = 9.3602 Å
α = 90.00°, β = 127.33°, γ = 90.00°
Space group C2/m (No. 12)
One atom of each set of equivalent atoms:
Ho1 0.0000 0.0000 0.0000 x2
Ho2 0.1302 0.5000 0.8020 x4
U1 0.2251 0.5000 0.3854 x4
C1 0.0669 0.0000 0.3021 x4
C2 0.1981 0.5000 0.1244 x4